No. 1
VASP calculation (PBE) on crystalline TmZn3Br9 at its relaxed geometry.

Output
For the uncorrected formation energy, the calculation gives -1.1239 eV per atom.

```
data_TmZn3Br9
_chemical_formula_sum 'Tm4 Zn12 Br36'
_cell_length_a 18.525
_cell_length_b 9.391
_cell_length_c 13.366
_cell_angle_alpha 90.00
_cell_angle_beta 128.52
_cell_angle_gamma 90.00
_space_group_name_H-M_alt 'C 1 c 1'
_space_group_IT_number 9
loop_
_space_group_symop_operation_xyz
'x,y,z'
'x,-y,z+1/2'
'x+1/2,y+1/2,z'
'x+1/2,-y+1/2,z+1/2'
loop_
_atom_site_label
_atom_site_type_symbol
_atom_site_fract_x
_atom_site_fract_y
_atom_site_fract_z
Tm1 Tm 0.000 0.228 0.000
Zn1 Zn 0.138 0.118 0.826
Zn2 Zn 0.230 0.430 0.713
Zn3 Zn 0.358 0.075 0.665
Br1 Br 0.007 0.082 0.823
Br2 Br 0.111 0.351 0.726
Br3 Br 0.142 0.060 0.196
Br4 Br 0.153 0.374 0.056
Br5 Br 0.242 0.261 0.584
Br6 Br 0.298 0.130 0.022
Br7 Br 0.361 0.475 0.422
Br8 Br 0.403 0.027 0.367
Br9 Br 0.489 0.187 0.692
```

---

No. 2
VASP calculation (PBE) on crystalline FeWSe3 at its relaxed geometry.

Output
For the uncorrected formation energy, the calculation gives -0.2594 eV per atom. As for the excess energy over the best structure of this formula in the dataset: 0.000 eV/atom.

```
data_FeWSe3
_chemical_formula_sum 'Fe4 W4 Se12'
_cell_length_a 3.433
_cell_length_b 23.291
_cell_length_c 5.964
_cell_angle_alpha 90.00
_cell_angle_beta 90.00
_cell_angle_gamma 90.00
_space_group_name_H-M_alt 'A m a 2'
_space_group_IT_number 40
loop_
_space_group_symop_operation_xyz
'x,y,z'
'-x,-y,z'
'-x+1/2,y,z'
'x+1/2,-y,z'
'x,y+1/2,z+1/2'
'-x,-y+1/2,z+1/2'
'-x+1/2,y+1/2,z+1/2'
'x+1/2,-y+1/2,z+1/2'
loop_
_atom_site_label
_atom_site_type_symbol
_atom_site_fract_x
_atom_site_fract_y
_atom_site_fract_z
Fe1 Fe 0.250 0.139 0.000
W1 W 0.250 0.329 0.178
Se1 Se 0.250 0.133 0.393
Se2 Se 0.250 0.234 0.876
Se3 Se 0.250 0.423 0.372
```

---

No. 3
VASP calculation (PBE) on crystalline Li2MgCd at its relaxed geometry.

Output
The formation energy is -0.1771 eV per atom. As for the excess energy over the best structure of this formula in the dataset: 0.000 eV/atom.

```
data_Li2MgCd
_chemical_formula_sum 'Li8 Mg4 Cd4'
_cell_length_a 6.774
_cell_length_b 6.774
_cell_length_c 6.774
_cell_angle_alpha 90.00
_cell_angle_beta 90.00
_cell_angle_gamma 90.00
_space_group_name_H-M_alt 'F -4 3 m'
_space_group_IT_number 216
_space_group_name_Hall 'F -4 2 3'
loop_
_atom_site_label
_atom_site_type_symbol
_atom_site_fract_x
_atom_site_fract_y
_atom_site_fract_z
Li1 Li 0.000 0.000 0.000
Li2 Li 0.250 0.250 0.250
Mg1 Mg 0.000 0.000 0.500
Cd1 Cd 0.250 0.250 0.750
```

---

No. 4
VASP calculation (PBE) on crystalline TaRe2Se at its relaxed geometry.

Output
For the uncorrected formation energy, the calculation gives 0.2294 eV per atom.

```
data_TaRe2Se
_chemical_formula_sum 'Ta2 Re4 Se2'
_cell_length_a 9.475
_cell_length_b 3.060
_cell_length_c 4.646
_cell_angle_alpha 90.00
_cell_angle_beta 105.78
_cell_angle_gamma 90.00
_space_group_name_H-M_alt 'C 1 m 1'
_space_group_IT_number 8
loop_
_space_group_symop_operation_xyz
'x,y,z'
'x,-y,z'
'x+1/2,y+1/2,z'
'x+1/2,-y+1/2,z'
loop_
_atom_site_label
_atom_site_type_symbol
_atom_site_fract_x
_atom_site_fract_y
_atom_site_fract_z
Ta1 Ta 0.000 0.000 0.000
Re1 Re 0.266 0.500 0.381
Re2 Re 0.499 0.000 0.496
Se1 Se 0.247 0.000 0.820
```

---

No. 5
VASP calculation (PBE) on crystalline Sc2AsSe at its relaxed geometry.

Output
For the uncorrected formation energy, the calculation gives -1.5336 eV per atom. As for the excess energy over the best structure of this formula in the dataset: 0.020 eV/atom.

```
data_Sc2AsSe
_chemical_formula_sum 'Sc2 As1 Se1'
_cell_length_a 3.872
_cell_length_b 3.872
_cell_length_c 5.480
_cell_angle_alpha 90.00
_cell_angle_beta 90.00
_cell_angle_gamma 90.00
_space_group_name_H-M_alt 'P 4/m m m'
_space_group_IT_number 123
_space_group_name_Hall '-P 4 2'
loop_
_atom_site_label
_atom_site_type_symbol
_atom_site_fract_x
_atom_site_fract_y
_atom_site_fract_z
Sc1 Sc 0.000 0.000 0.000
Sc2 Sc 0.500 0.500 0.500
As1 As 0.000 0.000 0.500
Se1 Se 0.500 0.500 0.000
```

---

No. 6
VASP calculation (PBE) on crystalline PuHfPaSn at its relaxed geometry.

Output
The formation energy is 0.1395 eV per atom.

```
data_PuHfPaSn
_chemical_formula_sum 'Pu4 Hf4 Pa4 Sn4'
_cell_length_a 7.370
_cell_length_b 7.370
_cell_length_c 7.370
_cell_angle_alpha 90.00
_cell_angle_beta 90.00
_cell_angle_gamma 90.00
_space_group_name_H-M_alt 'F -4 3 m'
_space_group_IT_number 216
_space_group_name_Hall 'F -4 2 3'
loop_
_atom_site_label
_atom_site_type_symbol
_atom_site_fract_x
_atom_site_fract_y
_atom_site_fract_z
Pu1 Pu 0.000 0.000 0.000
Hf1 Hf 0.250 0.250 0.750
Pa1 Pa 0.000 0.000 0.500
Sn1 Sn 0.250 0.250 0.250
```

---

So what do the calculations give for final energy? Going down the list: -2.920, -6.633, -1.761, -9.829, -6.733, -9.307 eV per atom.